No. 1
First-principles (GGA-PBE) data for SrCuAsBr2 after structural relaxation, as listed in the Alexandria database.

Unit cell a=5.195 b=5.195 c=4.880 alpha=90.00 beta=90.00 gamma=90.00
Space group P4/mmm (No. 123)
Unique sites:
Sr 0.000 0.000 0.000 [1 per cell]
Cu 0.500 0.500 0.500 [1 per cell]
As 0.500 0.500 0.000 [1 per cell]
Br 0.000 0.500 0.500 [2 per cell]

Formation energy from raw total energies ... -0.578 eV/atom

No. 2
First-principles (GGA-PBE) data for In2Pd4Au after structural relaxation, as listed in the Alexandria database.

Unit cell a=6.957 b=5.627 c=6.985 alpha=90.00 beta=112.16 gamma=90.00
Space group P2_1/m (No. 11)
Unique sites:
In 0.072 0.250 0.357 [2 per cell]
In 0.324 0.750 0.084 [2 per cell]
Pd 0.078 0.750 0.315 [2 per cell]
Pd 0.300 0.504 0.725 [4 per cell]
Pd 0.493 0.250 0.492 [2 per cell]
Au 0.270 0.250 0.066 [2 per cell]

No. 3
First-principles (GGA-PBE) data for MgAs2Ru after structural relaxation, as listed in the Alexandria database.

Unit cell a=3.401 b=4.391 c=4.402 alpha=90.00 beta=90.00 gamma=90.00
Space group Pmmm (No. 47)
Unique sites:
Mg 0.000 0.000 0.000 [1 per cell]
As 0.500 0.000 0.500 [1 per cell]
As 0.500 0.500 0.000 [1 per cell]
Ru 0.000 0.500 0.500 [1 per cell]

No. 4
First-principles (GGA-PBE) data for Tl2AgB2 after structural relaxation, as listed in the Alexandria database.

Unit cell a=6.616 b=6.616 c=4.277 alpha=90.00 beta=90.00 gamma=90.00
Space group P4/mbm (No. 127)
Unique sites:
Tl 0.186 0.314 0.000 [4 per cell]
Ag 0.000 0.000 0.500 [2 per cell]
B 0.087 0.413 0.500 [4 per cell]

Number 1: energy -16.66 eV per formula unit, total magnetic moment 1.22 μB/cell. Number 2: energy -31.74 eV per formula unit, total magnetic moment 0.00 μB/cell. Number 3: energy -20.14 eV per formula unit, total magnetic moment 0.00 μB/cell. Number 4: energy -16.47 eV per formula unit, total magnetic moment 0.00 μB/cell.